i.
Compound: Pr3Al2Sn3
Source: Alexandria via LeMat-Bulk
Functional: PBE
Structure: optimized geometry

```
Pr3Al2Sn3
1.0
4.511 0.000 0.000
-2.255 5.933 0.000
0.000 0.000 15.992
Sn Al Pr
6 4 6
Cartesian
2.255 1.522 7.375 Sn
2.255 1.522 0.621 Sn
0.000 4.452 3.998 Sn
2.255 1.480 11.994 Sn
0.000 4.411 15.372 Sn
0.000 4.411 8.617 Sn
0.000 2.642 6.173 Al
0.000 2.642 1.823 Al
2.255 3.291 9.820 Al
2.255 3.291 14.169 Al
0.000 4.110 11.994 Pr
2.255 5.207 1.788 Pr
2.255 5.207 6.208 Pr
2.255 1.823 3.998 Pr
0.000 0.726 14.204 Pr
0.000 0.726 9.784 Pr
```


ii.
Compound: Pr3Al2Sn3
Source: Alexandria via LeMat-Bulk
Functional: PBE
Structure: optimized geometry

```
Pr3Al2Sn3
1.0
4.838 0.000 0.000
-2.419 5.758 0.000
0.000 0.000 15.646
Sn Pr Al
6 6 4
Cartesian
0.000 0.681 14.242 Sn
2.419 5.078 1.405 Sn
0.000 0.681 9.228 Sn
2.419 2.599 3.912 Sn
0.000 3.160 11.735 Sn
2.419 5.078 6.419 Sn
0.000 5.053 3.912 Pr
0.000 4.056 15.079 Pr
2.419 1.702 0.568 Pr
2.419 0.705 11.735 Pr
2.419 1.702 7.255 Pr
0.000 4.056 8.391 Pr
0.000 1.847 2.572 Al
0.000 1.847 5.251 Al
2.419 3.911 13.074 Al
2.419 3.911 10.395 Al
```


The structure with the greatest stability is i.